# DyZnSn

A geometry-optimized DyZnSn structure (PBE-GGA, Alexandria via LeMat-Bulk).

Values from the calculation:
- ΔH_f (0 K) (eV/atom) = -0.47
- V (Å³/cell) = 139.4
- symmetry = P2_1/m (11)

Geometry as POSCAR:
```
DyZnSn
1.0
4.422 0.000 0.000
0.000 4.421 0.000
-0.005 0.000 7.130
Dy Zn Sn
2 2 2
Direct
0.249 0.250 0.183
0.751 0.750 0.817
0.250 0.750 0.500
0.750 0.250 0.500
0.251 0.250 0.750
0.749 0.750 0.250
```


# NaPmPu

A geometry-optimized NaPmPu structure (PBE-GGA, Alexandria via LeMat-Bulk).

Values from the calculation:
- ΔH_f (0 K) (eV/atom) = 0.11
- V (Å³/cell) = 180.3
- symmetry = R-3m (166)

Geometry as POSCAR:
```
NaPmPu
1.0
1.807 1.043 15.941
-1.807 1.043 15.941
0.000 -2.086 15.941
Na Pm Pu
2 2 2
Direct
0.134 0.134 0.134
0.866 0.866 0.866
0.400 0.400 0.400
0.600 0.600 0.600
0.322 0.322 0.322
0.678 0.678 0.678
```


# HgPd3Se

A geometry-optimized HgPd3Se structure (PBE-GGA, Alexandria via LeMat-Bulk).

Values from the calculation:
- energy relative to the lowest polymorph listed for this composition (eV/atom) = 0.2954
- V (Å³/cell) = 104.5
- symmetry = Pm-3m (221)

Geometry as POSCAR:
```
HgPd3Se
1.0
4.710 0.000 0.000
0.000 4.710 0.000
0.000 0.000 4.710
Hg Pd Se
1 3 1
Direct
0.000 0.000 0.000
0.000 0.500 0.500
0.500 0.000 0.500
0.500 0.500 0.000
0.500 0.500 0.500
```


# LiPb2F8

A geometry-optimized LiPb2F8 structure (PBE-GGA, Alexandria via LeMat-Bulk).

Values from the calculation:
- energy relative to the lowest polymorph listed for this composition (eV/atom) = 0.1219
- V (Å³/cell) = 176.4
- symmetry = P-3 (147)

Geometry as POSCAR:
```
LiPb2F8
1.0
6.730 0.000 0.000
-3.365 5.829 0.000
0.000 0.000 4.496
Li Pb F
1 2 8
Direct
0.000 0.000 0.000
0.333 0.667 0.238
0.667 0.333 0.762
0.154 0.310 0.242
0.157 0.846 0.242
0.310 0.157 0.758
0.333 0.667 0.738
0.667 0.333 0.262
0.690 0.843 0.242
0.843 0.154 0.758
0.846 0.690 0.758
```


# FeCoMo

A geometry-optimized FeCoMo structure (PBE-GGA, Alexandria via LeMat-Bulk).

Values from the calculation:
- energy relative to the lowest polymorph listed for this composition (eV/atom) = 0.3425
- ΔH_f (0 K) (eV/atom) = 0.35
- V (Å³/cell) = 233.0
- symmetry = P6_222 (180)

Geometry as POSCAR:
```
FeCoMo
1.0
4.708 0.000 0.000
-2.354 4.077 0.000
0.000 0.000 12.137
Fe Co Mo
6 6 6
Direct
0.000 0.500 0.336
0.000 0.500 0.997
0.500 0.000 0.330
0.500 0.000 0.670
0.500 0.500 0.003
0.500 0.500 0.664
0.320 0.660 0.167
0.340 0.660 0.833
0.340 0.680 0.500
0.660 0.320 0.500
0.660 0.340 0.833
0.680 0.340 0.167
0.000 0.000 0.167
0.000 0.000 0.500
0.000 0.000 0.833
0.000 0.500 0.667
0.500 0.000 0.000
0.500 0.500 0.333
```


# Re2MoRh6

A geometry-optimized Re2MoRh6 structure (PBE-GGA, Alexandria via LeMat-Bulk).

Values from the calculation:
- ΔH_f (0 K) (eV/atom) = -0.10
- V (Å³/cell) = 130.2
- symmetry = C2/m (12)

Geometry as POSCAR:
```
Re2MoRh6
1.0
4.329 -1.932 0.000
4.329 1.932 0.000
-2.639 0.000 7.787
Re Mo Rh
2 1 6
Direct
0.170 0.170 0.229
0.830 0.830 0.771
0.500 0.500 0.000
0.167 0.167 0.893
0.170 0.170 0.555
0.499 0.499 0.323
0.501 0.501 0.677
0.830 0.830 0.445
0.833 0.833 0.107
```


# Ho2CdIn

A geometry-optimized Ho2CdIn structure (PBE-GGA, Alexandria via LeMat-Bulk).

Values from the calculation:
- energy relative to the lowest polymorph listed for this composition (eV/atom) = 0.0000
- ΔH_f (0 K) (eV/atom) = -0.40
- V (Å³/cell) = 104.0
- symmetry = Fm-3m (225)

Geometry as POSCAR:
```
Ho2CdIn
1.0
0.000 3.732 3.732
3.732 0.000 3.732
3.732 3.732 0.000
Ho Cd In
2 1 1
Direct
0.250 0.250 0.250
0.750 0.750 0.750
0.000 0.000 0.000
0.500 0.500 0.500
```


# CaGd2Tm

A geometry-optimized CaGd2Tm structure (PBE-GGA, Alexandria via LeMat-Bulk).

Values from the calculation:
- energy relative to the lowest polymorph listed for this composition (eV/atom) = 0.0780
- ΔH_f (0 K) (eV/atom) = 0.14
- V (Å³/cell) = 133.6
- symmetry = Fm-3m (225)

Geometry as POSCAR:
```
CaGd2Tm
1.0
0.000 4.058 4.058
4.058 0.000 4.058
4.058 4.058 0.000
Ca Gd Tm
1 2 1
Direct
0.000 0.000 0.000
0.250 0.250 0.250
0.750 0.750 0.750
0.500 0.500 0.500
```


# Zr2InGaP

A geometry-optimized Zr2InGaP structure (PBE-GGA, Alexandria via LeMat-Bulk).

Values from the calculation:
- ΔH_f (0 K) (eV/atom) = 0.64
- V (Å³/cell) = 123.0
- symmetry = P4/mmm (123)

Geometry as POSCAR:
```
Zr2InGaP
1.0
5.118 0.000 0.000
0.000 5.118 0.000
0.000 0.000 4.697
Zr In Ga P
2 1 1 1
Direct
0.000 0.500 0.000
0.500 0.000 0.000
0.000 0.000 0.500
0.000 0.000 0.000
0.500 0.500 0.500
```


# NdSi4Pt2

A geometry-optimized NdSi4Pt2 structure (PBE-GGA, Alexandria via LeMat-Bulk).

Values from the calculation:
- total DFT energy (no corrections) (eV for the cell shown) = -172.49
- V (Å³/cell) = 481.7
- symmetry = Pnma (62)

Geometry as POSCAR:
```
NdSi4Pt2
1.0
17.116 0.000 0.000
0.000 4.224 0.000
0.000 0.000 6.662
Nd Si Pt
4 16 8
Direct
0.147 0.250 0.027
0.353 0.750 0.527
0.647 0.250 0.473
0.853 0.750 0.973
0.040 0.750 0.864
0.060 0.250 0.457
0.170 0.750 0.344
0.188 0.750 0.731
0.312 0.250 0.231
0.330 0.250 0.844
0.440 0.750 0.957
0.460 0.250 0.364
0.540 0.750 0.636
0.560 0.250 0.043
0.670 0.750 0.156
0.688 0.750 0.769
0.812 0.250 0.269
0.830 0.250 0.656
0.940 0.750 0.543
0.960 0.250 0.136
0.022 0.750 0.244
0.202 0.250 0.529
0.298 0.750 0.029
0.478 0.250 0.744
0.522 0.750 0.256
0.702 0.250 0.971
0.798 0.750 0.471
0.978 0.250 0.756
```


# ThUP2

A geometry-optimized ThUP2 structure (PBE-GGA, Alexandria via LeMat-Bulk).

Values from the calculation:
- energy relative to the lowest polymorph listed for this composition (eV/atom) = 0.3282
- ΔH_f (0 K) (eV/atom) = -0.92
- V (Å³/cell) = 83.5
- symmetry = P4/mmm (123)

Geometry as POSCAR:
```
ThUP2
1.0
3.465 0.000 0.000
0.000 3.465 0.000
0.000 0.000 6.954
Th U P
1 1 2
Direct
0.000 0.000 0.000
0.000 0.000 0.500
0.500 0.500 0.262
0.500 0.500 0.738
```


# YGa4Ir2Ru

A geometry-optimized YGa4Ir2Ru structure (PBE-GGA, Alexandria via LeMat-Bulk).

Values from the calculation:
- ΔH_f (0 K) (eV/atom) = -0.55
- V (Å³/cell) = 132.6
- symmetry = R-3m (166)

Geometry as POSCAR:
```
YGa4Ir2Ru
1.0
2.128 1.228 8.459
-2.128 1.228 8.459
0.000 -2.457 8.459
Y Ga Ir Ru
1 4 2 1
Direct
0.000 0.000 0.000
0.132 0.132 0.132
0.399 0.399 0.399
0.601 0.601 0.601
0.868 0.868 0.868
0.241 0.241 0.241
0.759 0.759 0.759
0.500 0.500 0.500
```


# CePr14Mg

A geometry-optimized CePr14Mg structure (PBE-GGA, Alexandria via LeMat-Bulk).

Values from the calculation:
- ΔH_f (0 K) (eV/atom) = 0.02
- V (Å³/cell) = 559.9
- symmetry = P4/mmm (123)

Geometry as POSCAR:
```
CePr14Mg
1.0
7.327 0.000 0.000
0.000 7.327 0.000
0.000 0.000 10.429
Ce Pr Mg
1 14 1
Direct
0.000 0.000 0.000
0.000 0.000 0.500
0.000 0.500 0.000
0.000 0.500 0.500
0.250 0.250 0.245
0.250 0.250 0.755
0.250 0.750 0.245
0.250 0.750 0.755
0.500 0.000 0.000
0.500 0.000 0.500
0.500 0.500 0.500
0.750 0.250 0.245
0.750 0.250 0.755
0.750 0.750 0.245
0.750 0.750 0.755
0.500 0.500 0.000
```


# BaCd6Ag

A geometry-optimized BaCd6Ag structure (PBE-GGA, Alexandria via LeMat-Bulk).

Values from the calculation:
- energy relative to the lowest polymorph listed for this composition (eV/atom) = 0.0120
- ΔH_f (0 K) (eV/atom) = -0.14
- V (Å³/cell) = 210.3
- symmetry = R-3m (166)

Geometry as POSCAR:
```
BaCd6Ag
1.0
2.446 1.412 10.142
-2.446 1.412 10.142
0.000 -2.825 10.142
Ba Cd Ag
1 6 1
Direct
0.000 0.000 0.000
0.137 0.137 0.137
0.243 0.243 0.243
0.405 0.405 0.405
0.595 0.595 0.595
0.757 0.757 0.757
0.863 0.863 0.863
0.500 0.500 0.500
```


# Na2Tl9Pb

A geometry-optimized Na2Tl9Pb structure (PBE-GGA, Alexandria via LeMat-Bulk).

Values from the calculation:
- ΔH_f (0 K) (eV/atom) = -0.04
- V (Å³/cell) = 356.4
- symmetry = P4/mmm (123)

Geometry as POSCAR:
```
Na2Tl9Pb
1.0
4.952 0.000 0.000
0.000 4.952 0.000
0.000 0.000 14.531
Na Tl Pb
2 9 1
Direct
0.000 0.000 0.163
0.000 0.000 0.837
0.000 0.500 0.000
0.000 0.500 0.328
0.000 0.500 0.672
0.500 0.000 0.000
0.500 0.000 0.328
0.500 0.000 0.672
0.500 0.500 0.159
0.500 0.500 0.500
0.500 0.500 0.841
0.000 0.000 0.500
```


# Mg2MnRh

A geometry-optimized Mg2MnRh structure (PBE-GGA, Alexandria via LeMat-Bulk).

Values from the calculation:
- ΔH_f (0 K) (eV/atom) = 0.03
- V (Å³/cell) = 67.0
- symmetry = R-3m (166)

Geometry as POSCAR:
```
Mg2MnRh
1.0
1.473 0.850 8.909
-1.473 0.850 8.909
0.000 -1.701 8.909
Mg Mn Rh
2 1 1
Direct
0.244 0.244 0.244
0.756 0.756 0.756
0.000 0.000 0.000
0.500 0.500 0.500
```


# Zn2TcOs

A geometry-optimized Zn2TcOs structure (PBE-GGA, Alexandria via LeMat-Bulk).

Values from the calculation:
- energy relative to the lowest polymorph listed for this composition (eV/atom) = 0.7936
- ΔH_f (0 K) (eV/atom) = 0.78
- V (Å³/cell) = 123.8
- symmetry = I-42d (122)

Geometry as POSCAR:
```
Zn2TcOs
1.0
-3.477 3.477 2.560
3.477 -3.477 2.560
3.477 3.477 -2.560
Zn Tc Os
4 2 2
Direct
0.122 0.125 0.497
0.375 0.878 0.003
0.628 0.625 0.503
0.875 0.372 0.997
0.250 0.750 0.500
0.500 0.500 0.000
0.000 0.000 0.000
0.750 0.250 0.500
```


# Cr2C

A geometry-optimized Cr2C structure (PBE-GGA, Alexandria via LeMat-Bulk).

Values from the calculation:
- ΔH_f (0 K) (eV/atom) = -0.09
- V (Å³/cell) = 89.1
- symmetry = P-31m (162)

Geometry as POSCAR:
```
Cr2C
1.0
4.852 0.000 0.000
-2.426 4.202 0.000
0.000 0.000 4.368
Cr C
6 3
Direct
0.000 0.339 0.245
0.000 0.661 0.755
0.339 0.000 0.245
0.339 0.339 0.755
0.661 0.000 0.755
0.661 0.661 0.245
0.000 0.000 0.000
0.333 0.667 0.500
0.667 0.333 0.500
```